Crystalline CaCd2GaRh at its relaxed geometry. Source: the Alexandria database, functional GGA-PBE. Values from VASP.

formation energy from the elements	-0.2290	eV/atom
space-group type	No. 123

```
&SYSTEM
  ibrav = 0, nat = 5, ntyp = 4
/
ATOMIC_SPECIES
Ga 69.72 Ga.upf
Cd 112.41 Cd.upf
Rh 102.91 Rh.upf
Ca 40.08 Ca.upf
CELL_PARAMETERS angstrom
-3.231 -3.483 2.074
-0.967 -1.913 -4.720
3.597 -3.041 0.496
ATOMIC_POSITIONS crystal
Ga 0.000 0.000 0.500
Cd 0.000 0.500 0.000
Rh 0.000 0.000 0.000
Ca 0.500 0.500 0.500
Cd 0.500 0.000 0.000
```